Here is a relaxed structure of Ac2Mg2Cd from Alexandria via LeMat-Bulk. Energies are from PBE.

Unit cell a=19.906 b=5.801 c=5.625 alpha=90.00 beta=90.14 gamma=90.00
Space group C2/c (No. 15)
Unique sites:
Ac 0.101 0.229 0.251 [8 per cell]
Mg 0.216 0.316 0.751 [8 per cell]
Cd 0.000 0.283 0.750 [4 per cell]

Properties
N(E_F): 21.69 states/eV per cell
total magnetization: 0.0 μB per formula unit
formation enthalpy at 0 K: -0.11 eV per atom


Here is a relaxed structure of ScAlRe2 from Alexandria via LeMat-Bulk. Energies are from PBE.

Unit cell a=3.207 b=4.513 c=8.729 alpha=90.00 beta=90.00 gamma=90.00
Space group Cmmm (No. 65)
Unique sites:
Sc 0.000 0.000 0.000 [2 per cell]
Al 0.000 0.000 0.500 [2 per cell]
Re 0.000 0.500 0.265 [4 per cell]

Properties
N(E_F): 6.49 states/eV per cell
total magnetization: 0.0 μB per formula unit
formation enthalpy at 0 K: -0.05 eV per atom


Here is a relaxed structure of Nb2VZnTe from Alexandria via LeMat-Bulk. Energies are from PBE.

Unit cell a=4.756 b=4.756 c=4.962 alpha=90.00 beta=90.00 gamma=90.00
Space group P4/mmm (No. 123)
Unique sites:
Nb 0.000 0.500 0.000 [2 per cell]
V 0.000 0.000 0.500 [1 per cell]
Zn 0.500 0.500 0.000 [1 per cell]
Te 0.500 0.500 0.500 [1 per cell]

Properties
N(E_F): 8.18 states/eV per cell
total magnetization: 0.1 μB per formula unit
formation energy from raw total energies: 7.7 eV per formula unit


Here is a relaxed structure of CsCaZnTe from Alexandria via LeMat-Bulk. Energies are from PBE.

Unit cell a=4.761 b=4.412 c=8.242 alpha=90.00 beta=106.57 gamma=90.00
Space group Pm (No. 6)
Unique sites:
Cs 0.000 0.000 0.000 [1 per cell]
Ca 0.251 0.500 0.508 [1 per cell]
Zn 0.756 0.000 0.519 [1 per cell]
Te 0.626 0.500 0.254 [1 per cell]

Properties
N(E_F): 1.94 states/eV per cell
total magnetization: 0.0 μB per formula unit
formation energy from raw total energies: -2.2 eV per formula unit


Here is a relaxed structure of LaPd2O from Alexandria via LeMat-Bulk. Energies are from PBE.

Unit cell a=3.614 b=3.614 c=22.952 alpha=90.00 beta=90.00 gamma=90.00
Space group I-42d (No. 122)
Unique sites:
La 0.000 0.000 0.000 [4 per cell]
Pd 0.249 0.250 0.625 [8 per cell]
O 0.000 0.000 0.500 [4 per cell]

Properties
N(E_F): 11.88 states/eV per cell
total magnetization: 0.0 μB per formula unit
formation energy from raw total energies: -4.8 eV per formula unit


Here is a relaxed structure of TiRe3Te from Alexandria via LeMat-Bulk. Energies are from PBE.

Unit cell a=4.633 b=4.633 c=4.633 alpha=90.00 beta=90.00 gamma=90.00
Space group Pm-3m (No. 221)
Unique sites:
Ti 0.000 0.000 0.000 [1 per cell]
Re 0.000 0.000 0.500 [3 per cell]
Te 0.500 0.500 0.500 [1 per cell]

Properties
N(E_F): 6.95 states/eV per cell
total magnetization: 0.0 μB per formula unit
formation energy from raw total energies: 9.6 eV per formula unit


The highest N(E_F) belongs to which entry?
Ac2Mg2Cd


The highest total magnetization belongs to which entry?
Nb2VZnTe